# ZrPa2OsC4 | Alexandria via LeMat-Bulk | PBE | optimized geometry
data_ZrPa2OsC4
_space_group_name_H-M_alt 'P 1'
_space_group_IT_number 1
_space_group_name_Hall 'P 1'
_cell_length_a 5.986
_cell_length_b 5.986
_cell_length_c 12.017
_cell_angle_alpha 90.00
_cell_angle_beta 90.00
_cell_angle_gamma 146.90
loop_
_atom_site_label
_atom_site_type_symbol
_atom_site_fract_x
_atom_site_fract_y
_atom_site_fract_z
_atom_site_occupancy
Zr1 Zr 0.124 0.876 0.750 1
Zr2 Zr 0.876 0.124 0.250 1
Pa1 Pa 0.364 0.636 0.543 1
Pa2 Pa 0.364 0.636 0.957 1
Pa3 Pa 0.636 0.364 0.043 1
Pa4 Pa 0.636 0.364 0.457 1
Os1 Os 0.138 0.862 0.250 1
Os2 Os 0.862 0.138 0.750 1
C1 C 0.000 0.000 0.000 1
C2 C 0.000 0.000 0.500 1
C3 C 0.272 0.728 0.138 1
C4 C 0.272 0.728 0.362 1
C5 C 0.458 0.542 0.750 1
C6 C 0.542 0.458 0.250 1
C7 C 0.728 0.272 0.638 1
C8 C 0.728 0.272 0.862 1
# E_form (eV per atom): -0.102
# Total energy (Ha/atom): -0.3513
# SG: Cmcm (63)
# Total magnetization (μB/f.u.): 0.000

# Zr2PaOsC4 | Alexandria via LeMat-Bulk | PBE | optimized geometry
data_Zr2PaOsC4
_space_group_name_H-M_alt 'P 1'
_space_group_IT_number 1
_space_group_name_Hall 'P 1'
_cell_length_a 6.018
_cell_length_b 6.018
_cell_length_c 11.326
_cell_angle_alpha 90.00
_cell_angle_beta 90.00
_cell_angle_gamma 147.27
loop_
_atom_site_label
_atom_site_type_symbol
_atom_site_fract_x
_atom_site_fract_y
_atom_site_fract_z
_atom_site_occupancy
Zr1 Zr 0.131 0.869 0.541 1
Zr2 Zr 0.131 0.869 0.959 1
Zr3 Zr 0.869 0.131 0.041 1
Zr4 Zr 0.869 0.131 0.459 1
Pa1 Pa 0.390 0.610 0.750 1
Pa2 Pa 0.610 0.390 0.250 1
Os1 Os 0.352 0.648 0.250 1
Os2 Os 0.648 0.352 0.750 1
C1 C 0.054 0.946 0.750 1
C2 C 0.233 0.767 0.126 1
C3 C 0.233 0.767 0.374 1
C4 C 0.500 0.500 0.000 1
C5 C 0.500 0.500 0.500 1
C6 C 0.767 0.233 0.626 1
C7 C 0.767 0.233 0.874 1
C8 C 0.946 0.054 0.250 1
# E_form (eV per atom): -0.309
# Total energy (Ha/atom): -0.3546
# SG: Cmcm (63)
# Total magnetization (μB/f.u.): 0.000

# OsPbC2 | Alexandria via LeMat-Bulk | PBE | optimized geometry
data_OsPbC2
_space_group_name_H-M_alt 'P 1'
_space_group_IT_number 1
_space_group_name_Hall 'P 1'
_cell_length_a 6.186
_cell_length_b 6.186
_cell_length_c 6.186
_cell_angle_alpha 129.21
_cell_angle_beta 129.21
_cell_angle_gamma 74.68
loop_
_atom_site_label
_atom_site_type_symbol
_atom_site_fract_x
_atom_site_fract_y
_atom_site_fract_z
_atom_site_occupancy
Os1 Os 0.000 0.000 0.000 1
Os2 Os 0.750 0.250 0.500 1
Pb1 Pb 0.250 0.750 0.500 1
Pb2 Pb 0.500 0.500 0.000 1
C1 C 0.375 0.249 0.374 1
C2 C 0.751 0.125 0.126 1
C3 C 0.875 0.001 0.626 1
C4 C 0.999 0.625 0.874 1
# E_form (eV per atom): 1.014
# Total energy (Ha/atom): -0.2695
# SG: I-42d (122)
# Total magnetization (μB/f.u.): 0.000

# OsPbC3 | Alexandria via LeMat-Bulk | PBE | optimized geometry
data_OsPbC3
_space_group_name_H-M_alt 'P 1'
_space_group_IT_number 1
_space_group_name_Hall 'P 1'
_cell_length_a 4.089
_cell_length_b 4.089
_cell_length_c 4.089
_cell_angle_alpha 90.00
_cell_angle_beta 90.00
_cell_angle_gamma 90.00
loop_
_atom_site_label
_atom_site_type_symbol
_atom_site_fract_x
_atom_site_fract_y
_atom_site_fract_z
_atom_site_occupancy
Os1 Os 0.000 0.000 0.000 1
Pb1 Pb 0.500 0.500 0.500 1
C1 C 0.000 0.000 0.500 1
C2 C 0.000 0.500 0.000 1
C3 C 0.500 0.000 0.000 1
# Relative energy among the computed polymorphs (eV/f.u.): 0.00
# E_form (eV per atom): 1.795
# Total energy (Ha/atom): -0.2472
# SG: Pm-3m (221)
# Total magnetization (μB/f.u.): 0.000